The following is a DFT calculation (GGA-PBE) of TbNdNO after structural relaxation.

Results
Uncorrected energy   -7.485 eV per atom
Calculated volume   62.80 Å³/f.u.
DOS at the Fermi energy   0.43 states/eV per atom
Formation energy without anion corrections   -1.815 eV per atom

a b c (Å): 3.2289 3.2319 6.4371
angles (deg): 104.54 104.52 90.00
Atoms (fractional coordinates):
Tb 0.0764 0.0764 0.1528
O 0.4220 0.9220 0.8439
Nd 0.8198 0.3198 0.6396
N 0.6609 0.6610 0.3219

The following is a DFT calculation (GGA-PBE) of Dy3YRh2 after structural relaxation.

Results
DFT formation energy   -0.567 eV/atom
Uncorrected energy   -6.396 eV per atom
Energy above the most stable polymorph in this dataset   88 meV per atom
Calculated volume   161.04 Å³/f.u.
DOS at the Fermi energy   0.87 states/eV per atom

a b c (Å): 6.7083 7.0811 8.3522
angles (deg): 115.08 113.68 90.00
Atoms (fractional coordinates):
Dy 0.7677 0.0177 0.5354
Dy 0.5000 0.7500 0.0000
Dy 0.2323 0.4823 0.4646
Dy 0.2323 0.9823 0.4646
Dy 0.5000 0.2500 0.0000
Dy 0.7677 0.5177 0.5354
Rh 0.5715 0.3612 0.7225
Rh 0.1510 0.8612 0.7225
Rh 0.8490 0.1388 0.2775
Rh 0.4285 0.6388 0.2775
Y 0.0000 0.5000 0.0000
Y 0.0000 0.0000 0.0000

The following is a DFT calculation (GGA-PBE) of BaBe2Br after structural relaxation.

Results
Uncorrected energy   -2.567 eV per atom
Energy above the most stable polymorph in this dataset   184 meV per atom
Calculated volume   91.08 Å³/f.u.
DOS at the Fermi energy   0.43 states/eV per atom
Formation energy without anion corrections   0.195 eV per atom

a b c (Å): 3.5453 3.5453 7.2464
angles (deg): 90.00 90.00 90.39
Atoms (fractional coordinates):
Be 0.5000 0.5000 0.1607
Be 0.0000 0.0000 0.1150
Ba 0.5000 0.5000 0.7706
Br 0.0000 0.0000 0.4537

The following is a DFT calculation (GGA-PBE) of CsDyCuI6 after structural relaxation.

Results
Uncorrected energy   -3.062 eV per atom
Calculated volume   430.24 Å³/f.u.
DOS at the Fermi energy   0.38 states/eV per atom
Formation energy without anion corrections   -0.967 eV per atom

a b c (Å): 8.9755 7.4425 8.3048
angles (deg): 82.02 76.47 52.91
Site moments in Bohr magnetons follow the coordinates.
Atoms (fractional coordinates):
I 0.6502 0.3695 0.7825  0.01
I 0.5627 0.0515 0.2690  0.09
I 0.9623 0.6641 0.6322  0.07
I 0.3824 0.0546 0.7305  0.09
I 0.3775 0.6589 0.3662  0.07
I 0.9830 0.3667 0.2190  0.01
Dy 0.6811 0.6379 0.5005  0.00
Cu 0.3206 0.3573 0.4995  0.25
Cs 0.0799 0.8395 0.0006  0.00

The following is a DFT calculation (GGA-PBE) of MgRuPbS2 after structural relaxation.

Results
Uncorrected energy   -3.530 eV per atom
Calculated volume   138.90 Å³/f.u.
DOS at the Fermi energy   0.67 states/eV per atom
Formation energy without anion corrections   1.037 eV per atom

a b c (Å): 5.2180 5.1015 5.2180
angles (deg): 90.00 90.00 90.00
Site moments in Bohr magnetons follow the coordinates.
Atoms (fractional coordinates):
Mg 0.5000 0.5000 0.5000  -0.03
Ru 0.0000 0.5000 0.0000  1.36
Pb 0.0000 0.0000 0.0000  0.00
S 0.0000 0.0000 0.5000  0.01
S 0.5000 0.0000 0.0000  0.05

The following is a DFT calculation (GGA-PBE) of ZrCdIn2Co after structural relaxation.

Results
DFT formation energy   1.271 eV/atom
Uncorrected energy   -3.138 eV per atom
Calculated volume   143.26 Å³/f.u.
DOS at the Fermi energy   1.59 states/eV per atom

a b c (Å): 5.1327 5.4379 5.1327
angles (deg): 90.00 90.00 90.00
Site moments in Bohr magnetons follow the coordinates.
Atoms (fractional coordinates):
In 0.0000 0.0000 0.5000  0.00
In 0.5000 0.0000 0.0000  0.00
Zr 0.0000 0.5000 0.0000  -0.14
Co 0.5000 0.5000 0.5000  2.09
Cd 0.0000 0.0000 0.0000  0.01

The following is a DFT calculation (GGA-PBE) of Nd3TeIrBr after structural relaxation.

Results
Uncorrected energy   -5.690 eV per atom
Calculated volume   205.75 Å³/f.u.
DOS at the Fermi energy   0.54 states/eV per atom
Formation energy without anion corrections   -1.026 eV per atom

a b c (Å): 4.2315 9.0442 10.7562
angles (deg): 91.48 90.00 90.00
Atoms (fractional coordinates):
Nd 0.2500 0.6380 0.3909
Nd 0.7500 0.3620 0.6091
Nd 0.2500 0.6065 0.8717
Nd 0.2500 0.1587 0.8685
Nd 0.7500 0.3935 0.1283
Nd 0.7500 0.8413 0.1315
Br 0.7500 0.8625 0.4230
Br 0.2500 0.1375 0.5770
Te 0.2500 0.1157 0.1645
Te 0.7500 0.8843 0.8355
Ir 0.7500 0.3806 0.8604
Ir 0.2500 0.6194 0.1396

The following is a DFT calculation (GGA-PBE) of Al2CrAg after structural relaxation.

Results
DFT formation energy   0.144 eV/atom
Uncorrected energy   -4.846 eV per atom
Energy above the most stable polymorph in this dataset   204 meV per atom
Calculated volume   60.40 Å³/f.u.
DOS at the Fermi energy   0.60 states/eV per atom

a b c (Å): 4.5419 4.5419 5.1819
angles (deg): 80.54 80.54 35.00
Atoms (fractional coordinates):
Al 0.4963 0.4963 0.5241
Al 0.0037 0.0037 0.9759
Ag 0.2500 0.2500 0.2500
Cr 0.7500 0.7500 0.7500